Density functional theory data (PBE+U) for YNi2O4 after structural relaxation.

Properties
Energy above the most stable polymorph in this dataset (meV/atom): 0.0
SG: No. 141
Electronic total energy (eV per atom): -6.251

The structure in CIF format:
```
data_YNi2O4
_cell_length_a 5.8758
_cell_length_b 5.8758
_cell_length_c 5.8717
_cell_angle_alpha 109.04
_cell_angle_beta 109.04
_cell_angle_gamma 110.36
_space_group_name_H-M_alt 'P 1'
_space_group_IT_number 1
loop_
_space_group_symop_operation_xyz
'x,y,z'
loop_
_atom_site_label
_atom_site_fract_x
_atom_site_fract_y
_atom_site_fract_z
Ni1 0.1250 0.3749 0.7500
Ni2 0.6251 0.3750 0.7501
O1 0.3358 0.1511 0.8157
Y1 0.2500 0.7500 0.5000
Y2 0.0000 0.0000 0.0000
O2 0.9145 0.2300 0.3157
O3 0.4800 0.6646 0.8157
Ni3 0.6249 0.8750 0.2499
O4 0.9143 0.5989 0.6843
Ni4 0.6250 0.3751 0.2501
O5 0.4011 0.0858 0.3158
O6 0.8489 0.6642 0.1843
O7 0.7700 0.0853 0.6842
O8 0.3354 0.5201 0.1843
```